Computed, not measured: a crystal of LaCd2Pt relaxed with PBEsol at the SCAN level of DFT.

SG = No. 44
M_tot = 0.000 μB per formula unit
ΔE_f = -0.58 eV/atom

Lattice parameters (Å, degrees): 4.9334 4.9929 4.9929 60.78 60.39 60.39
Closest atoms and distances in Å follow each position.
Element x y z (fractional)
La 0.5004 0.4996 0.4996  4 Pt 3.04-3.07, 4 Cd 3.05-3.07
Pt 0.2599 0.2401 0.2401  4 Cd 2.98-3.13, 4 La 3.04-3.07
Cd 0.9971 0.0029 0.0029  4 Pt 2.98-3.13, 4 Cd 3.01-3.10
Cd 0.7426 0.7574 0.7574  4 Cd 3.01-3.10, 4 La 3.05-3.07


Computed, not measured: a crystal of RbNa2TiCd relaxed with PBEsol at the SCAN level of DFT.

SG = No. 123
M_tot = 3.324 μB per formula unit
ΔE_f = 0.75 eV/atom

Lattice parameters (Å, degrees): 5.7687 5.7687 6.4020 90.00 90.00 90.00
Closest atoms and distances in Å follow each position.
Element x y z (fractional)
Cd 0.0000 0.0000 0.0000  4 Na 2.88, 2 Rb 3.20
Ti 0.5000 0.5000 0.5000  4 Rb 4.08, 8 Na 4.31
Rb 0.0000 0.0000 0.5000  2 Cd 3.20
Na 0.0000 0.5000 0.0000  2 Cd 2.88
Na 0.5000 0.0000 0.0000  2 Cd 2.88


Computed, not measured: a crystal of H2IrICl relaxed with PBEsol at the SCAN level of DFT.

SG = No. 123
M_tot = 0.000 μB per formula unit
E = -23.9470 eV per atom

Lattice parameters (Å, degrees): 3.8356 3.8356 5.1546 90.00 90.00 90.00
Closest atoms and distances in Å follow each position.
Element x y z (fractional)
Ir 0.0000 0.0000 0.0000  4 H 1.92
H 0.5000 0.0000 0.0000  2 Ir 1.92
H 0.0000 0.5000 0.0000  2 Ir 1.92
Cl 0.5000 0.5000 0.5000  4 I 2.71
I 0.0000 0.0000 0.5000  2 Ir 2.58, 4 Cl 2.71


Question: Which value of M_tot does entry 2 give?
Answer: 3.324 μB per formula unit


Question: The highest M_tot belongs to which entry?
Answer: RbNa2TiCd